CoPdPt4, relaxed, DFT PBE; SG = P4/mmm; calculated formation energy = -0.47 eV/f.u.; relative energy among the computed polymorphs = 0.0 meV per atom; crystal system = tetragonal
1.0
2.7485 0.0000 0.0000
0.0000 2.7485 0.0000
0.0000 0.0000 11.8215
Pt Co Pd
4 1 1
Direct
0.5000 0.5000 0.1512 Pt
0.0000 0.0000 0.3273 Pt
0.0000 0.0000 0.6727 Pt
0.5000 0.5000 0.8488 Pt
0.0000 0.0000 0.0000 Co
0.5000 0.5000 0.5000 Pd


RbAgAsRu, relaxed, DFT PBE; SG = P4/nmm; calculated formation energy = -0.87 eV/f.u.; crystal system = tetragonal
1.0
4.0339 0.0000 0.0000
0.0000 4.0339 0.0000
0.0000 0.0000 13.0739
Rb Ag As Ru
2 2 2 2
Direct
0.7500 0.7500 0.2611 Rb
0.2500 0.2500 0.7389 Rb
0.2500 0.7500 0.5000 Ag
0.7500 0.2500 0.5000 Ag
0.2500 0.2500 0.1060 As
0.7500 0.7500 0.8940 As
0.2500 0.7500 0.0000 Ru
0.7500 0.2500 0.0000 Ru


Ta2Nb4V, relaxed, DFT PBE; SG = I4/mmm; calculated formation energy = 2.43 eV/f.u.; relative energy among the computed polymorphs = 0.0 meV per atom; crystal system = tetragonal
1.0
4.3054 0.0000 -1.3724
-0.4375 4.2831 -1.3724
-0.0612 -0.0678 7.2472
Nb Ta V
4 2 1
Direct
0.1157 0.6157 0.2313 Nb
0.6157 0.1157 0.2313 Nb
0.3843 0.8843 0.7687 Nb
0.8843 0.3843 0.7687 Nb
0.7599 0.7599 0.5197 Ta
0.2401 0.2401 0.4803 Ta
0.0000 0.0000 0.0000 V


Y2Zn2Rh5Pb, relaxed, DFT PBE; SG = P4/mbm; calculated formation energy = -5.61 eV/f.u.; crystal system = tetragonal
1.0
3.7355 0.0000 0.0000
0.0000 9.7066 0.0000
0.0000 0.0000 9.7066
Rh Y Zn Pb
10 4 4 2
Direct
0.5000 0.2098 0.0703 Rh
0.5000 0.0703 0.7902 Rh
0.5000 0.4297 0.2902 Rh
0.5000 0.9297 0.2098 Rh
0.5000 0.5703 0.7098 Rh
0.5000 0.7902 0.9297 Rh
0.5000 0.0000 0.5000 Rh
0.5000 0.7098 0.4297 Rh
0.5000 0.5000 0.0000 Rh
0.5000 0.2902 0.5703 Rh
0.0000 0.6746 0.1746 Y
0.0000 0.8254 0.6746 Y
0.0000 0.3254 0.8254 Y
0.0000 0.1746 0.3254 Y
0.0000 0.3779 0.1221 Zn
0.0000 0.8779 0.3779 Zn
0.0000 0.6221 0.8779 Zn
0.0000 0.1221 0.6221 Zn
0.0000 0.0000 0.0000 Pb
0.0000 0.5000 0.5000 Pb


Sm5Tl2In2, relaxed, DFT PBE; SG = Cmce; calculated formation energy = -3.29 eV/f.u.; relative energy among the computed polymorphs = 0.0 meV per atom; crystal system = orthorhombic
1.0
8.0297 0.0000 0.0000
0.0000 7.4891 -3.8499
0.0000 0.0091 9.2268
Tl In Sm
4 4 10
Direct
0.0000 0.2119 0.4237 Tl
0.5000 0.7119 0.4237 Tl
0.5000 0.2881 0.5763 Tl
0.0000 0.7881 0.5763 Tl
0.6225 0.8752 0.0000 In
0.1225 0.6248 0.0000 In
0.8775 0.3752 0.0000 In
0.3775 0.1248 0.0000 In
0.5000 0.5000 0.0000 Sm
0.0000 0.0000 0.0000 Sm
0.6710 0.0469 0.7223 Sm
0.3290 0.6755 0.7223 Sm
0.8290 0.8245 0.2777 Sm
0.3290 0.9531 0.2777 Sm
0.1710 0.4531 0.2777 Sm
0.1710 0.1755 0.7223 Sm
0.8290 0.5469 0.7223 Sm
0.6710 0.3245 0.2777 Sm


BaAc5Se8, relaxed, DFT PBE; SG = I-4; formation energy without anion corrections = -2.016 eV/atom; crystal system = tetragonal
1.0
8.1862 0.0309 -0.0531
-2.7408 7.7138 0.0531
-2.7046 -3.8851 6.6790
Se Ac Ba
8 5 1
Direct
0.7669 0.2468 0.3676 Se
0.6323 0.9090 0.8765 Se
0.2768 0.2443 0.3677 Se
0.4800 0.6007 0.2331 Se
0.1235 0.7557 0.0325 Se
0.1208 0.7532 0.5200 Se
0.6324 0.3993 0.8792 Se
0.9675 0.0910 0.7232 Se
0.0061 0.3776 0.1277 Ac
0.5000 0.0000 0.5000 Ac
0.7501 0.6224 0.6285 Ac
0.8723 0.8785 0.2499 Ac
0.3715 0.1215 0.9939 Ac
0.2500 0.5000 0.7500 Ba


TbPr4Cd2, relaxed, DFT PBE; SG = R-3m; calculated formation energy = 0.65 eV/f.u.; crystal system = trigonal
1.0
-3.9219 -2.2214 -3.4212
-2.1955 -5.0890 1.1413
-8.4282 1.4030 4.0709
Pr Tb Cd
4 1 2
Direct
0.7353 0.7353 0.7942 Pr
0.2647 0.2647 0.2058 Pr
0.1297 0.1297 0.6109 Pr
0.8703 0.8703 0.3891 Pr
0.5000 0.5000 0.5000 Tb
0.3850 0.3850 0.8450 Cd
0.6150 0.6150 0.1550 Cd


HgMo2, relaxed, DFT PBE; SG = Cmcm; calculated formation energy = 1.24 eV/f.u.; relative energy among the computed polymorphs = 11.0 meV per atom; crystal system = orthorhombic
1.0
6.9116 0.6110 -2.2301
-7.2292 0.4076 -0.8304
0.0816 4.4436 1.4704
Mo Hg
4 2
Direct
0.9346 0.0654 0.2500 Mo
0.5744 0.4256 0.2500 Mo
0.4256 0.5744 0.7500 Mo
0.0654 0.9346 0.7500 Mo
0.2628 0.7372 0.2500 Hg
0.7372 0.2628 0.7500 Hg


TiOsS, relaxed, DFT PBE; SG = Amm2; formation energy without anion corrections = -0.190 eV/atom; crystal system = orthorhombic
1.0
-1.5668 0.9599 2.5141
2.2916 -2.0294 0.2744
7.2125 8.3223 1.3173
Ti S Os
2 2 2
Direct
0.2493 0.4987 0.8207 Ti
0.2493 0.4987 0.1793 Ti
0.5860 0.1720 0.3205 S
0.5860 0.1720 0.6795 S
0.3865 0.7729 0.5000 Os
0.6095 0.2190 0.0000 Os


Ho8ZnIr2, relaxed, DFT PBE; SG = Cm; calculated formation energy = -4.05 eV/f.u.; crystal system = monoclinic
1.0
-2.8674 -4.5907 -0.9015
3.2365 0.5964 -7.0496
4.8695 -2.8588 5.3518
Ho Ir Zn
8 2 1
Direct
0.1954 0.3802 0.3802 Ho
0.5860 0.3330 0.0721 Ho
0.9994 0.2447 0.7608 Ho
0.4116 0.9341 0.6731 Ho
0.8037 0.6267 0.6267 Ho
0.4116 0.6731 0.9341 Ho
0.5860 0.0721 0.3330 Ho
0.9994 0.7608 0.2447 Ho
0.4994 0.3135 0.6927 Ir
0.4994 0.6927 0.3135 Ir
0.0078 0.0030 0.0030 Zn